12
Lattice="-2.566 4.073 1.784 -0.309 -2.277 5.307 5.394 0.946 -0.909" Properties=species:S:1:pos:R:3 comment="LiFeF4 | Alexandria via LeMat-Bulk | GGA+U | optimized geometry" rho_g_cm3=3.19 total_magnetization_mub_per_cell=10.0 relative_energy_mev_per_atom=34.8 dos_ef_per_ev_fu=0.000 pbc="T T T"
Li -1.088 1.704 2.185
Li -0.156 -1.050 2.794
Fe 1.962 1.088 0.646
Fe 0.511 1.672 5.181
F 0.385 -0.268 4.639
F 0.513 0.654 1.772
F -0.570 3.465 1.401
F -0.937 2.188 4.058
F 1.877 2.264 4.097
F 2.160 3.034 1.129
F 3.466 0.807 1.735
F 3.033 -0.793 4.512